[1]
The following is a DFT calculation (GGA-PBE) of a relaxed structure of Li2NdPd.

Space-group type: No. 166
Density (g/cm3): 5.1
Relative energy among the computed polymorphs (eV/atom): 0.386
DFT formation energy (eV per atom): 0.05
Density of states at the Fermi level (states/eV per atom): 0.947
E (eV/atom): -3.392

Cell and atoms, written as POSCAR:
```
Li2NdPd
1.0
-1.0307 2.2984 -1.8240
-2.0915 -0.5978 -2.2227
-8.6422 2.4355 5.3014
Nd Pd Li
1 1 2
Direct
0.0000 0.0000 0.0000 Nd
0.5000 0.5000 0.5000 Pd
0.1051 0.1051 0.6846 Li
0.8949 0.8949 0.3154 Li
```

[2]
The following is a DFT calculation (GGA-PBE) of a relaxed structure of Li5Nd2Pd5.

Space-group type: No. 47
Density (g/cm3): 6.6
DFT formation energy (eV per atom): -0.51
Density of states at the Fermi level (states/eV per atom): 0.314
E (eV/atom): -4.262

Cell and atoms, written as POSCAR:
```
Li5Nd2Pd5
1.0
-3.1065 1.4562 -2.7880
-3.6486 -2.5099 2.7545
-1.2138 7.6118 5.3282
Li Nd Pd
5 2 5
Direct
0.5000 0.5000 0.5000 Li
0.5000 0.7520 0.2447 Li
0.5000 0.2480 0.7553 Li
0.5000 0.2480 0.2447 Li
0.5000 0.7520 0.7553 Li
0.0000 0.5000 0.0000 Nd
0.0000 0.0000 0.5000 Nd
0.0000 0.5000 0.3324 Pd
0.0000 0.0000 0.8223 Pd
0.0000 0.0000 0.1777 Pd
0.0000 0.5000 0.6676 Pd
0.5000 0.0000 0.0000 Pd
```

[3]
The following is a DFT calculation (GGA-PBE) of a relaxed structure of LiNdPd4.

Space-group type: No. 216
Density (g/cm3): 8.7
DFT formation energy (eV per atom): -0.61
Density of states at the Fermi level (states/eV per atom): 0.558
E (eV/atom): -5.183

Cell and atoms, written as POSCAR:
```
LiNdPd4
1.0
-5.0473 -1.8828 -0.0939
-1.2592 -4.4695 2.7325
-3.0759 0.3166 4.4122
Nd Pd Li
1 4 1
Direct
0.2500 0.2500 0.2500 Nd
0.6254 0.6254 0.1239 Pd
0.6254 0.1239 0.6254 Pd
0.6254 0.6254 0.6254 Pd
0.1239 0.6254 0.6254 Pd
0.0000 0.0000 0.0000 Li
```

[4]
The following is a DFT calculation (GGA-PBE) of a relaxed structure of LiNd4Pd2.

Space-group type: No. 166
Density (g/cm3): 6.8
DFT formation energy (eV per atom): -0.32
Density of states at the Fermi level (states/eV per atom): 1.122
E (eV/atom): -4.806

Cell and atoms, written as POSCAR:
```
LiNd4Pd2
1.0
-4.6752 -1.6063 -1.0241
-0.7614 -4.7589 -1.5031
-2.7959 -4.6209 7.5687
Li Nd Pd
1 4 2
Direct
0.5000 0.5000 0.5000 Li
0.7088 0.7088 0.8735 Nd
0.8800 0.8800 0.3600 Nd
0.2912 0.2912 0.1265 Nd
0.1200 0.1200 0.6400 Nd
0.5948 0.5948 0.2157 Pd
0.4052 0.4052 0.7843 Pd
```

[5]
The following is a DFT calculation (GGA-PBE) of a relaxed structure of LiNdPd3.

Space-group type: No. 221
Density (g/cm3): 8.8
Relative energy among the computed polymorphs (eV/atom): 0.098
DFT formation energy (eV per atom): -0.48
Density of states at the Fermi level (states/eV per atom): 0.401
E (eV/atom): -4.931

Cell and atoms, written as POSCAR:
```
LiNdPd3
1.0
4.4551 0.0000 0.0000
0.0000 4.4551 0.0000
0.0000 0.0000 4.4551
Nd Pd Li
1 3 1
Direct
0.5000 0.5000 0.5000 Nd
0.0000 0.5000 0.0000 Pd
0.0000 0.0000 0.5000 Pd
0.5000 0.0000 0.0000 Pd
0.0000 0.0000 0.0000 Li
```

[6]
The following is a DFT calculation (GGA-PBE) of a relaxed structure of Li7NdPd4.

Space-group type: No. 12
Density (g/cm3): 5.0
DFT formation energy (eV per atom): -0.23
Density of states at the Fermi level (states/eV per atom): 0.393
E (eV/atom): -3.474

Cell and atoms, written as POSCAR:
```
Li7NdPd4
1.0
-3.5667 -2.0970 2.7658
-3.8467 -5.9058 -4.9607
1.3558 -4.8231 2.5691
Li Nd Pd
7 1 4
Direct
0.8154 0.7767 0.5924 Li
0.1846 0.2233 0.4076 Li
0.1235 0.5695 0.1836 Li
0.8765 0.4305 0.8164 Li
0.3589 0.6202 0.6619 Li
0.5000 0.0000 0.0000 Li
0.6411 0.3798 0.3381 Li
0.0000 0.0000 0.0000 Nd
0.6887 0.0835 0.5391 Pd
0.3113 0.9165 0.4609 Pd
0.6052 0.6900 0.0995 Pd
0.3948 0.3100 0.9005 Pd
```

[7]
The following is a DFT calculation (GGA-PBE) of a relaxed structure of Li2Nd3Pd4.

Space-group type: No. 12
Density (g/cm3): 7.4
DFT formation energy (eV per atom): -0.62
Density of states at the Fermi level (states/eV per atom): 0.673
E (eV/atom): -4.942

Cell and atoms, written as POSCAR:
```
Li2Nd3Pd4
1.0
4.2981 0.0000 0.0000
-2.1491 5.1809 -0.2073
0.0000 -0.9083 8.7819
Li Nd Pd
2 3 4
Direct
0.3161 0.6321 0.2125 Li
0.6839 0.3679 0.7875 Li
0.3804 0.7608 0.6224 Nd
0.0000 0.0000 0.0000 Nd
0.6196 0.2392 0.3776 Nd
0.7129 0.4257 0.0885 Pd
0.0913 0.1826 0.6346 Pd
0.9087 0.8174 0.3654 Pd
0.2871 0.5743 0.9115 Pd
```

[8]
The following is a DFT calculation (GGA-PBE) of a relaxed structure of Li2NdPd.

Space-group type: No. 11
Density (g/cm3): 5.2
Relative energy among the computed polymorphs (eV/atom): 0.000
DFT formation energy (eV per atom): -0.33
Density of states at the Fermi level (states/eV per atom): 0.688
E (eV/atom): -3.778

Cell and atoms, written as POSCAR:
```
Li2NdPd
1.0
-1.9488 1.9773 3.0370
-1.9270 -5.1550 -0.6857
5.4334 -2.7314 5.2650
Li Nd Pd
4 2 2
Direct
0.1640 0.3269 0.4432 Li
0.8360 0.6731 0.5568 Li
0.8360 0.6731 0.9432 Li
0.1640 0.3269 0.0568 Li
0.4460 0.8898 0.2500 Nd
0.5540 0.1102 0.7500 Nd
0.7349 0.4683 0.2500 Pd
0.2651 0.5317 0.7500 Pd
```